[1]
A plane-wave DFT calculation with PBE was carried out for NdGd3P after structural relaxation.

## Properties
The energy is -10.9304 eV/atom. The calculation puts the spin magnetization at 4.770 μB per atom. As for the density of states at the Fermi level: 7.8 states/eV per cell.

Cell and atoms, written as CIF:
```
data_NdGd3P
_cell_length_a 5.461
_cell_length_b 5.461
_cell_length_c 5.461
_cell_angle_alpha 90.00
_cell_angle_beta 90.00
_cell_angle_gamma 90.00
_space_group_name_H-M_alt 'P m -3 m'
_space_group_IT_number 221
_space_group_name_Hall '-P 4 2 3'
loop_
_atom_site_label
_atom_site_type_symbol
_atom_site_fract_x
_atom_site_fract_y
_atom_site_fract_z
Nd1 Nd 0.000 0.000 0.000
Gd1 Gd 0.000 0.500 0.500
P1 P 0.500 0.500 0.500
```

=====

[2]
A plane-wave DFT calculation with PBE was carried out for B4C after structural relaxation.

## Properties
For the energy above the most stable polymorph in this dataset, the calculation gives 0.659 eV/atom. The energy is -6.6295 eV/atom. The calculation puts the spin magnetization at 0.000 μB per atom. As for the density of states at the Fermi level: 7.8 states/eV per cell.

Cell and atoms, written as CIF:
```
data_B4C
_cell_length_a 2.622
_cell_length_b 2.622
_cell_length_c 22.219
_cell_angle_alpha 90.00
_cell_angle_beta 90.00
_cell_angle_gamma 90.00
_space_group_name_H-M_alt 'I 41/a m d'
_space_group_IT_number 141
loop_
_space_group_symop_operation_xyz
'x,y,z'
'-x,-y,-z'
'-y+1/4,x+3/4,z+1/4'
'y+1/4,-x+3/4,-z+1/4'
'-x+1/2,-y,z+1/2'
'x+1/2,y,-z+1/2'
'y+1/4,-x+1/4,z+3/4'
'-y+1/4,x+1/4,-z+3/4'
'x,-y,-z'
'-x,y,z'
'-y+1/4,-x+1/4,-z+3/4'
'y+1/4,x+1/4,z+3/4'
'-x+1/2,y,-z+1/2'
'x+1/2,-y,z+1/2'
'y+1/4,x+3/4,-z+1/4'
'-y+1/4,-x+3/4,z+1/4'
'x+1/2,y+1/2,z+1/2'
'-x+1/2,-y+1/2,-z+1/2'
'-y+3/4,x+1/4,z+3/4'
'y+3/4,-x+1/4,-z+3/4'
'-x,-y+1/2,z'
'x,y+1/2,-z'
'y+3/4,-x+3/4,z+1/4'
'-y+3/4,x+3/4,-z+1/4'
'x+1/2,-y+1/2,-z+1/2'
'-x+1/2,y+1/2,z+1/2'
'-y+3/4,-x+3/4,-z+1/4'
'y+3/4,x+3/4,z+1/4'
'-x,y+1/2,-z'
'x,-y+1/2,z'
'y+3/4,x+1/4,-z+3/4'
'-y+3/4,-x+1/4,z+3/4'
loop_
_atom_site_label
_atom_site_type_symbol
_atom_site_fract_x
_atom_site_fract_y
_atom_site_fract_z
B1 B 0.000 0.250 0.088
B2 B 0.000 0.250 0.277
C1 C 0.000 0.250 0.875
```

=====

[3]
A plane-wave DFT calculation with PBE was carried out for MnCoNi after structural relaxation.

## Properties
For the energy above the most stable polymorph in this dataset, the calculation gives 0.126 eV/atom. The energy is -7.1824 eV/atom. The calculation puts the spin magnetization at 0.211 μB per atom. As for the density of states at the Fermi level: 13.6 states/eV per cell.

Cell and atoms, written as CIF:
```
data_MnCoNi
_cell_length_a 3.966
_cell_length_b 4.793
_cell_length_c 6.849
_cell_angle_alpha 90.00
_cell_angle_beta 90.00
_cell_angle_gamma 90.00
_space_group_name_H-M_alt 'I m m m'
_space_group_IT_number 71
_space_group_name_Hall '-I 2 2'
loop_
_atom_site_label
_atom_site_type_symbol
_atom_site_fract_x
_atom_site_fract_y
_atom_site_fract_z
Mn1 Mn 0.000 0.241 0.000
Co1 Co 0.000 0.500 0.335
Ni1 Ni 0.000 0.000 0.332
```